{"formula": "NaHo2PbO6", "functional": "PBE-GGA", "state": "optimized geometry", "raw_formation_energy_ev_per_fu": -21.81, "final_energy_ev_per_atom": -6.575, "m_tot_mub_per_fu": 1.07, "lattice_angstrom": [[-0.873, -5.189, -2.406], [4.515, -3.329, -1.417], [1.096, -5.003, 3.434]], "species": ["O", "O", "O", "O", "O", "O", "Na", "Pb", "Ho", "Ho"], "fractional_positions": [[0.156, 0.381, 0.753], [0.711, 0.156, 0.753], [0.607, 0.232, 0.236], [0.924, 0.607, 0.236], [0.381, 0.711, 0.753], [0.232, 0.924, 0.236], [0.800, 0.800, 0.599], [0.312, 0.312, 0.064], [0.523, 0.523, 0.432], [0.015, 0.015, 0.954]]}